DFT (PBE-GGA) results for NaInGe after structural relaxation.

```
data_NaInGe
_chemical_formula_sum 'Na4 In4 Ge4'
_cell_length_a 4.963
_cell_length_b 15.312
_cell_length_c 3.879
_cell_angle_alpha 90.00
_cell_angle_beta 90.00
_cell_angle_gamma 90.00
_space_group_name_H-M_alt 'C m c m'
_space_group_IT_number 63
_space_group_name_Hall '-C 2c 2'
loop_
_atom_site_label
_atom_site_fract_x
_atom_site_fract_y
_atom_site_fract_z
Na1 0.000 0.087 0.250
In1 0.000 0.276 0.750
Ge1 0.000 0.446 0.250
```

The formation energy is 0.012 eV per atom. The density is 4.7 g/cm³. Its crystal system is orthorhombic. The calculation puts the density of states at the Fermi level at 5.1 states/eV per cell.